# 1
## BeV2CuSn (PBE)

Data for a geometry-optimized BeV2CuSn structure.

Computed properties:
Symmetry   P4/mmm (123)

abc: 4.569 4.651 4.569
angles: 90.00 90.00 90.00
Last column: magnetic moment on the atom in μB.
Fractional positions:
Sn  0.000  0.500  0.000  -0.09
Cu  0.000  0.000  0.000  0.12
V  0.500  0.000  0.000  1.97
V  0.000  0.000  0.500  1.90
Be  0.500  0.500  0.500  -0.05

***

# 2
## SrBeCu (PBE)

Data for a geometry-optimized SrBeCu structure.

Computed properties:
Symmetry   I4mm (107)
Energy above the lowest structure with this stoichiometry   127 meV per atom

abc: 5.960 5.960 3.214
angles: 74.36 74.36 31.28
Fractional positions:
Be  0.950  0.950  0.050
Cu  0.384  0.384  0.616
Sr  0.666  0.666  0.334

***

# 3
## SrBeCu (PBE)

Data for a geometry-optimized SrBeCu structure.

Computed properties:
Symmetry   F-43m (216)
Energy above the lowest structure with this stoichiometry   830 meV per atom

abc: 4.932 4.932 4.932
angles: 60.00 60.00 60.00
Fractional positions:
Cu  0.500  0.500  0.500
Be  0.000  0.000  0.000
Sr  0.750  0.750  0.750

***

no.,calculated total energy (eV/atom),energy of formation from the pure elements (eV/atom)
1,-4.735,1.2772
2,-2.868,0.3003
3,-2.164,1.0037